1.
Compound: SrFe2Si
Source: the Alexandria database
Functional: PBE-GGA
Structure: relaxed

* total magnetization: 5.1 μB per formula unit
* electronic total energy: -5.2633 eV per atom

a = 5.504 Å, b = 5.504 Å, c = 2.821 Å
α = 76.59°, β = 76.59°, γ = 114.66°
Site moments in Bohr magnetons follow the coordinates.
Positions (direct):
Fe 0.000 0.000 0.000  2.64
Fe 0.500 0.500 0.000  2.64
Si 0.500 0.000 0.500  0.01
Sr 0.000 0.500 0.500  -0.08

=====

2.
Compound: SrFeSi3
Source: the Alexandria database
Functional: PBE-GGA
Structure: relaxed

* total magnetization: 0.0 μB per formula unit
* electronic total energy: -2.7995 eV per atom

a = 5.325 Å, b = 5.325 Å, c = 5.325 Å
α = 90.00°, β = 90.00°, γ = 90.00°
Site moments in Bohr magnetons follow the coordinates.
Positions (direct):
Sr 0.000 0.000 0.000  0.00
Si 0.000 0.500 0.000  0.00
Si 0.000 0.000 0.500  0.01
Si 0.500 0.000 0.000  0.01
Fe 0.500 0.500 0.500  -0.14

=====

3.
Compound: Sr2FeSi
Source: the Alexandria database
Functional: PBE-GGA
Structure: relaxed

* total magnetization: 1.9 μB per formula unit
* electronic total energy: -4.3258 eV per atom

a = 4.375 Å, b = 4.840 Å, c = 5.929 Å
α = 65.90°, β = 90.00°, γ = 90.00°
Site moments in Bohr magnetons follow the coordinates.
Positions (direct):
Fe 0.000 0.658 0.558  2.25
Si 0.500 0.587 0.701  -0.02
Sr 0.000 0.982 0.911  -0.05
Sr 0.500 0.273 0.329  -0.04

=====

4.
Compound: SrFe2Si
Source: the Alexandria database
Functional: PBE-GGA
Structure: relaxed

* total magnetization: 5.6 μB per formula unit
* electronic total energy: -5.4163 eV per atom

a = 4.669 Å, b = 4.669 Å, c = 4.669 Å
α = 120.02°, β = 120.02°, γ = 89.97°
Site moments in Bohr magnetons follow the coordinates.
Positions (direct):
Fe 0.000 0.000 0.000  2.83
Fe 0.250 0.750 0.500  2.74
Si 0.500 0.500 0.000  0.01
Sr 0.750 0.250 0.500  -0.01

=====

5.
Compound: Sr2FeSi
Source: the Alexandria database
Functional: PBE-GGA
Structure: relaxed

* total magnetization: 2.0 μB per formula unit
* electronic total energy: -3.8814 eV per atom

a = 5.082 Å, b = 5.082 Å, c = 5.082 Å
α = 119.90°, β = 119.90°, γ = 90.17°
Site moments in Bohr magnetons follow the coordinates.
Positions (direct):
Fe 0.500 0.500 0.000  2.42
Si 0.750 0.250 0.500  -0.01
Sr 0.000 0.000 0.000  -0.09
Sr 0.250 0.750 0.500  -0.05

=====

6.
Compound: Sr2FeSi
Source: the Alexandria database
Functional: PBE-GGA
Structure: relaxed

* total magnetization: 2.1 μB per formula unit
* electronic total energy: -4.2308 eV per atom

a = 6.336 Å, b = 6.336 Å, c = 6.336 Å
α = 145.17°, β = 131.95°, γ = 60.70°
Site moments in Bohr magnetons follow the coordinates.
Positions (direct):
Fe 0.429 0.429 0.000  2.33
Si 0.306 0.806 0.500  -0.03
Sr 0.030 0.030 0.000  -0.06
Sr 0.735 0.235 0.500  -0.03

=====

7.
Compound: Sr4FeSi
Source: the Alexandria database
Functional: PBE-GGA
Structure: relaxed

* total magnetization: 2.3 μB per formula unit
* electronic total energy: -2.4036 eV per atom

a = 6.784 Å, b = 6.784 Å, c = 6.784 Å
α = 60.00°, β = 60.00°, γ = 60.00°
Site moments in Bohr magnetons follow the coordinates.
Positions (direct):
Sr 0.875 0.375 0.375  -0.07
Sr 0.375 0.375 0.875  -0.07
Sr 0.375 0.875 0.375  -0.07
Sr 0.375 0.375 0.375  -0.07
Fe 0.750 0.750 0.750  3.19
Si 0.000 0.000 0.000  0.02

=====

8.
Compound: SrFe2Si
Source: the Alexandria database
Functional: PBE-GGA
Structure: relaxed

* total magnetization: 4.7 μB per formula unit
* electronic total energy: -5.7337 eV per atom

a = 4.086 Å, b = 3.242 Å, c = 6.060 Å
α = 80.31°, β = 90.00°, γ = 90.00°
Site moments in Bohr magnetons follow the coordinates.
Positions (direct):
Fe 0.000 0.045 0.111  2.37
Fe 0.000 0.455 0.389  2.37
Si 0.500 0.250 0.250  -0.05
Sr 0.500 0.750 0.750  -0.02

=====

9.
Compound: Sr2FeSi
Source: the Alexandria database
Functional: PBE-GGA
Structure: relaxed

* total magnetization: 1.1 μB per formula unit
* electronic total energy: -4.4177 eV per atom

a = 4.101 Å, b = 4.101 Å, c = 8.640 Å
α = 76.01°, β = 76.01°, γ = 60.04°
Site moments in Bohr magnetons follow the coordinates.
Positions (direct):
Fe 0.542 0.542 0.375  1.15
Si 0.208 0.208 0.375  -0.04
Sr 0.962 0.962 0.118  -0.01
Sr 0.788 0.788 0.632  -0.01

=====

10.
Compound: Sr2FeSi
Source: the Alexandria database
Functional: PBE-GGA
Structure: relaxed

* total magnetization: 1.3 μB per formula unit
* electronic total energy: -4.1608 eV per atom

a = 11.144 Å, b = 11.144 Å, c = 8.185 Å
α = 47.10°, β = 47.10°, γ = 90.00°
Site moments in Bohr magnetons follow the coordinates.
Positions (direct):
Sr 0.817 0.125 0.250  -0.01
Sr 0.933 0.625 0.250  -0.01
Sr 0.375 0.183 0.750  -0.01
Sr 0.875 0.067 0.750  -0.01
Si 0.500 0.500 0.000  -0.04
Si 0.250 0.750 0.500  -0.04
Fe 0.000 0.000 0.000  1.43
Fe 0.750 0.250 0.500  1.43

=====

11.
Compound: SrFe2Si
Source: the Alexandria database
Functional: PBE-GGA
Structure: relaxed

* total magnetization: 3.9 μB per formula unit
* electronic total energy: -5.5270 eV per atom

a = 5.155 Å, b = 5.155 Å, c = 5.155 Å
α = 140.08°, β = 117.44°, γ = 76.84°
Site moments in Bohr magnetons follow the coordinates.
Positions (direct):
Fe 0.070 0.070 0.000  2.08
Fe 0.430 0.430 0.000  2.08
Si 0.250 0.750 0.500  -0.09
Sr 0.750 0.250 0.500  -0.04

=====

12.
Compound: SrFe4Si
Source: the Alexandria database
Functional: PBE-GGA
Structure: relaxed

* total magnetization: 8.5 μB per formula unit
* electronic total energy: -6.4366 eV per atom

a = 5.032 Å, b = 5.032 Å, c = 5.032 Å
α = 60.00°, β = 60.00°, γ = 60.00°
Site moments in Bohr magnetons follow the coordinates.
Positions (direct):
Sr 0.000 0.000 0.000  -0.08
Fe 0.871 0.376 0.376  2.19
Fe 0.376 0.376 0.871  2.19
Fe 0.376 0.871 0.376  2.19
Fe 0.376 0.376 0.376  2.19
Si 0.750 0.750 0.750  -0.05